# 1
Material: NbTe2Rh
Method: DFT, GGA-PBEsol
State: relaxed

Output
The value obtained for the total energy is -25.64 eV per cell. For the density of states at the Fermi level, the calculation gives 4.793 states/eV/f.u. The calculation puts the uncorrected formation energy at 2.127 kcal/mol of atoms. Its density is 8.534 g cm⁻³. The total moment is 0.0 μB/cell.

Structure (CIF):
```
data_NbTe2Rh
_chemical_formula_sum 'Nb1 Te2 Rh1'
_cell_length_a 3.372
_cell_length_b 3.372
_cell_length_c 9.122
_cell_angle_alpha 79.35
_cell_angle_beta 79.35
_cell_angle_gamma 60.00
_symmetry_space_group_name_H-M 'P 1'
_symmetry_Int_Tables_number 1
loop_
_symmetry_equiv_pos_as_xyz
'x,y,z'
loop_
_atom_site_label
_atom_site_type_symbol
_atom_site_fract_x
_atom_site_fract_y
_atom_site_fract_z
Nb1 Nb 0.500 0.500 0.500
Te1 Te 0.907 0.907 0.280
Te2 Te 0.093 0.093 0.720
Rh1 Rh 0.000 0.000 0.000
```

# 2
Material: NaLi3Cu
Method: DFT, GGA-PBEsol
State: relaxed

Output
The value obtained for the total energy is -10.76 eV per cell. For the density of states at the Fermi level, the calculation gives 2.441 states/eV/f.u. The formation energy comes out at 175 meV/atom. Its density is 1.589 g cm⁻³. The total moment is 0.0 μB/cell.

Structure (CIF):
```
data_NaLi3Cu
_chemical_formula_sum 'Na1 Li3 Cu1'
_cell_length_a 4.823
_cell_length_b 4.823
_cell_length_c 4.823
_cell_angle_alpha 90.00
_cell_angle_beta 90.00
_cell_angle_gamma 90.00
_symmetry_space_group_name_H-M 'P 1'
_symmetry_Int_Tables_number 1
loop_
_symmetry_equiv_pos_as_xyz
'x,y,z'
loop_
_atom_site_label
_atom_site_type_symbol
_atom_site_fract_x
_atom_site_fract_y
_atom_site_fract_z
Cu1 Cu 0.000 0.000 0.000
Li1 Li 0.500 0.000 0.000
Li2 Li 0.000 0.000 0.500
Li3 Li 0.000 0.500 0.000
Na1 Na 0.500 0.500 0.500
```

# 3
Material: K5Cu
Method: DFT, GGA-PBEsol
State: relaxed

Output
The value obtained for the total energy is -7.19 eV per cell. For the density of states at the Fermi level, the calculation gives 3.722 states/eV/f.u. The formation energy comes out at 469 meV/atom. Its density is 1.244 g cm⁻³. The total moment is 0.0 μB/cell.

Structure (CIF):
```
data_K5Cu
_chemical_formula_sum 'K5 Cu1'
_cell_length_a 7.879
_cell_length_b 7.879
_cell_length_c 7.879
_cell_angle_alpha 60.00
_cell_angle_beta 60.00
_cell_angle_gamma 60.00
_symmetry_space_group_name_H-M 'P 1'
_symmetry_Int_Tables_number 1
loop_
_symmetry_equiv_pos_as_xyz
'x,y,z'
loop_
_atom_site_label
_atom_site_type_symbol
_atom_site_fract_x
_atom_site_fract_y
_atom_site_fract_z
K1 K 0.626 0.626 0.626
K2 K 0.626 0.121 0.626
K3 K 0.121 0.626 0.626
K4 K 0.626 0.626 0.121
K5 K 0.250 0.250 0.250
Cu1 Cu 0.000 0.000 0.000
```

# 4
Material: GaPS4
Method: DFT, GGA-PBEsol
State: relaxed

Output
The value obtained for the total energy is -116.75 eV per cell. For the density of states at the Fermi level, the calculation gives 0.000 states/eV/f.u. The calculation puts the uncorrected formation energy at -9.683 kcal/mol of atoms. Its density is 2.712 g cm⁻³. The total moment is 0.0 μB/cell.

Structure (CIF):
```
data_GaPS4
_chemical_formula_sum 'Ga4 P4 S16'
_cell_length_a 7.884
_cell_length_b 8.229
_cell_length_c 8.646
_cell_angle_alpha 88.56
_cell_angle_beta 90.00
_cell_angle_gamma 90.00
_symmetry_space_group_name_H-M 'P 1'
_symmetry_Int_Tables_number 1
loop_
_symmetry_equiv_pos_as_xyz
'x,y,z'
loop_
_atom_site_label
_atom_site_type_symbol
_atom_site_fract_x
_atom_site_fract_y
_atom_site_fract_z
S1 S 0.019 0.530 0.721
S2 S 0.045 0.006 0.216
S3 S 0.481 0.030 0.221
S4 S 0.728 0.708 0.037
S5 S 0.271 0.209 0.491
S6 S 0.545 0.494 0.284
S7 S 0.772 0.208 0.537
S8 S 0.519 0.970 0.779
S9 S 0.455 0.506 0.716
S10 S 0.272 0.292 0.963
S11 S 0.229 0.709 0.991
S12 S 0.981 0.470 0.279
S13 S 0.729 0.791 0.509
S14 S 0.955 0.994 0.784
S15 S 0.771 0.291 0.009
S16 S 0.228 0.792 0.463
Ga1 Ga 0.963 0.736 0.887
Ga2 Ga 0.037 0.264 0.113
Ga3 Ga 0.537 0.236 0.387
Ga4 Ga 0.463 0.764 0.613
P1 P 0.738 0.988 0.651
P2 P 0.762 0.488 0.151
P3 P 0.238 0.512 0.849
P4 P 0.262 0.012 0.349
```

# 5
Material: MoBr
Method: DFT, GGA-PBEsol
State: relaxed

Output
The value obtained for the total energy is -23.67 eV per cell. For the density of states at the Fermi level, the calculation gives 2.122 states/eV/f.u. The calculation puts the uncorrected formation energy at 20.802 kcal/mol of atoms. For the energy above the most stable polymorph in this dataset, the calculation gives 0.805 eV/atom. Its density is 7.474 g cm⁻³. The total moment is 0.0 μB/cell.

Structure (CIF):
```
data_MoBr
_chemical_formula_sum 'Mo2 Br2'
_cell_length_a 4.330
_cell_length_b 4.330
_cell_length_c 4.813
_cell_angle_alpha 90.00
_cell_angle_beta 90.00
_cell_angle_gamma 120.00
_symmetry_space_group_name_H-M 'P 1'
_symmetry_Int_Tables_number 1
loop_
_symmetry_equiv_pos_as_xyz
'x,y,z'
loop_
_atom_site_label
_atom_site_type_symbol
_atom_site_fract_x
_atom_site_fract_y
_atom_site_fract_z
Mo1 Mo 0.000 0.000 0.000
Mo2 Mo 0.000 0.000 0.500
Br1 Br 0.667 0.333 0.750
Br2 Br 0.333 0.667 0.250
```

# 6
Material: ScSe3S
Method: DFT, GGA-PBEsol
State: relaxed

Output
The value obtained for the total energy is -21.95 eV per cell. For the density of states at the Fermi level, the calculation gives 5.747 states/eV/f.u. The calculation puts the uncorrected formation energy at 2.730 kcal/mol of atoms. For the energy above the most stable polymorph in this dataset, the calculation gives 0.254 eV/atom. Its density is 4.108 g cm⁻³. The total moment is 0.9 μB/cell.

Structure (CIF):
```
data_ScSe3S
_chemical_formula_sum 'Sc1 Se3 S1'
_cell_length_a 5.025
_cell_length_b 5.025
_cell_length_c 5.025
_cell_angle_alpha 90.00
_cell_angle_beta 90.00
_cell_angle_gamma 90.00
_symmetry_space_group_name_H-M 'P 1'
_symmetry_Int_Tables_number 1
loop_
_symmetry_equiv_pos_as_xyz
'x,y,z'
loop_
_atom_site_label
_atom_site_type_symbol
_atom_site_fract_x
_atom_site_fract_y
_atom_site_fract_z
Sc1 Sc 0.000 0.000 0.000
S1 S 0.500 0.500 0.500
Se1 Se 0.000 0.500 0.000
Se2 Se 0.000 0.000 0.500
Se3 Se 0.500 0.000 0.000
```

# 7
Material: Sc2InPb
Method: DFT, GGA-PBEsol
State: relaxed

Output
The value obtained for the total energy is -21.99 eV per cell. For the density of states at the Fermi level, the calculation gives 3.193 states/eV/f.u. The formation energy comes out at -450 meV/atom. Its density is 7.523 g cm⁻³. The total moment is 0.0 μB/cell.

Structure (CIF):
```
data_Sc2InPb
_chemical_formula_sum 'Sc2 In1 Pb1'
_cell_length_a 4.229
_cell_length_b 4.229
_cell_length_c 5.899
_cell_angle_alpha 111.00
_cell_angle_beta 111.00
_cell_angle_gamma 90.00
_symmetry_space_group_name_H-M 'P 1'
_symmetry_Int_Tables_number 1
loop_
_symmetry_equiv_pos_as_xyz
'x,y,z'
loop_
_atom_site_label
_atom_site_type_symbol
_atom_site_fract_x
_atom_site_fract_y
_atom_site_fract_z
Sc1 Sc 0.750 0.250 0.500
Sc2 Sc 0.000 0.000 0.000
In1 In 0.500 0.500 0.000
Pb1 Pb 0.250 0.750 0.500
```

# 8
Material: Ca3HgO
Method: DFT, GGA-PBEsol
State: relaxed

Output
The value obtained for the total energy is -19.45 eV per cell. For the density of states at the Fermi level, the calculation gives 3.258 states/eV/f.u. The calculation puts the uncorrected formation energy at -33.361 kcal/mol of atoms. Its density is 5.092 g cm⁻³. The total moment is 0.0 μB/cell.

Structure (CIF):
```
data_Ca3HgO
_chemical_formula_sum 'Ca3 Hg1 O1'
_cell_length_a 4.789
_cell_length_b 4.789
_cell_length_c 4.789
_cell_angle_alpha 90.00
_cell_angle_beta 90.00
_cell_angle_gamma 90.00
_symmetry_space_group_name_H-M 'P 1'
_symmetry_Int_Tables_number 1
loop_
_symmetry_equiv_pos_as_xyz
'x,y,z'
loop_
_atom_site_label
_atom_site_type_symbol
_atom_site_fract_x
_atom_site_fract_y
_atom_site_fract_z
Hg1 Hg 0.500 0.500 0.500
O1 O 0.000 0.000 0.000
Ca1 Ca 0.500 0.000 0.000
Ca2 Ca 0.000 0.500 0.000
Ca3 Ca 0.000 0.000 0.500
```

# 9
Material: FeTc2F2
Method: DFT, GGA-PBEsol
State: relaxed

Output
The value obtained for the total energy is -37.89 eV per cell. For the density of states at the Fermi level, the calculation gives 3.779 states/eV/f.u. The calculation puts the uncorrected formation energy at -11.724 kcal/mol of atoms. Its density is 8.552 g cm⁻³. The total moment is 2.0 μB/cell.

Structure (CIF):
```
data_FeTc2F2
_chemical_formula_sum 'Fe1 Tc2 F2'
_cell_length_a 3.163
_cell_length_b 3.163
_cell_length_c 6.053
_cell_angle_alpha 105.15
_cell_angle_beta 105.15
_cell_angle_gamma 90.00
_symmetry_space_group_name_H-M 'P 1'
_symmetry_Int_Tables_number 1
loop_
_symmetry_equiv_pos_as_xyz
'x,y,z'
loop_
_atom_site_label
_atom_site_type_symbol
_atom_site_fract_x
_atom_site_fract_y
_atom_site_fract_z
F1 F 0.750 0.250 0.500
F2 F 0.250 0.750 0.500
Tc1 Tc 0.394 0.394 0.787
Tc2 Tc 0.606 0.606 0.213
Fe1 Fe 0.000 0.000 0.000
```

# 10
Material: Zn2CrSe
Method: DFT, GGA-PBEsol
State: relaxed

Output
The value obtained for the total energy is -16.09 eV per cell. For the density of states at the Fermi level, the calculation gives 1.979 states/eV/f.u. The calculation puts the uncorrected formation energy at 6.723 kcal/mol of atoms. Its density is 6.780 g cm⁻³. The total moment is 3.7 μB/cell.

Structure (CIF):
```
data_Zn2CrSe
_chemical_formula_sum 'Zn2 Cr1 Se1'
_cell_length_a 4.492
_cell_length_b 4.492
_cell_length_c 4.492
_cell_angle_alpha 60.00
_cell_angle_beta 60.00
_cell_angle_gamma 60.00
_symmetry_space_group_name_H-M 'P 1'
_symmetry_Int_Tables_number 1
loop_
_symmetry_equiv_pos_as_xyz
'x,y,z'
loop_
_atom_site_label
_atom_site_type_symbol
_atom_site_fract_x
_atom_site_fract_y
_atom_site_fract_z
Zn1 Zn 0.000 0.000 0.000
Zn2 Zn 0.250 0.250 0.250
Cr1 Cr 0.500 0.500 0.500
Se1 Se 0.750 0.750 0.750
```

# 11
Material: BaMg2Cu
Method: DFT, GGA-PBEsol
State: relaxed

Output
The value obtained for the total energy is -9.01 eV per cell. For the density of states at the Fermi level, the calculation gives 2.820 states/eV/f.u. The formation energy comes out at 228 meV/atom. Its density is 3.813 g cm⁻³. The total moment is 0.0 μB/cell.

Structure (CIF):
```
data_BaMg2Cu
_chemical_formula_sum 'Ba1 Mg2 Cu1'
_cell_length_a 4.443
_cell_length_b 4.443
_cell_length_c 5.504
_cell_angle_alpha 90.00
_cell_angle_beta 90.00
_cell_angle_gamma 90.00
_symmetry_space_group_name_H-M 'P 1'
_symmetry_Int_Tables_number 1
loop_
_symmetry_equiv_pos_as_xyz
'x,y,z'
loop_
_atom_site_label
_atom_site_type_symbol
_atom_site_fract_x
_atom_site_fract_y
_atom_site_fract_z
Ba1 Ba 0.500 0.500 0.500
Mg1 Mg 0.000 0.500 0.000
Mg2 Mg 0.500 0.000 0.000
Cu1 Cu 0.000 0.000 0.500
```

# 12
Material: CsFe3W
Method: DFT, GGA-PBEsol
State: relaxed

Output
The value obtained for the total energy is -25.77 eV per cell. For the density of states at the Fermi level, the calculation gives 8.934 states/eV/f.u. The formation energy comes out at 3175 meV/atom. Its density is 8.922 g cm⁻³. The total moment is 5.4 μB/cell.

Structure (CIF):
```
data_CsFe3W
_chemical_formula_sum 'Cs1 Fe3 W1'
_cell_length_a 4.484
_cell_length_b 4.484
_cell_length_c 4.484
_cell_angle_alpha 90.00
_cell_angle_beta 90.00
_cell_angle_gamma 90.00
_symmetry_space_group_name_H-M 'P 1'
_symmetry_Int_Tables_number 1
loop_
_symmetry_equiv_pos_as_xyz
'x,y,z'
loop_
_atom_site_label
_atom_site_type_symbol
_atom_site_fract_x
_atom_site_fract_y
_atom_site_fract_z
Cs1 Cs 0.000 0.000 0.000
Fe1 Fe 0.000 0.500 0.000
Fe2 Fe 0.000 0.000 0.500
Fe3 Fe 0.500 0.000 0.000
W1 W 0.500 0.500 0.500
```

Number 1: volume 21.939 Å³/atom. Number 2: volume 22.433 Å³/atom. Number 3: volume 57.634 Å³/atom. Number 4: volume 23.367 Å³/atom. Number 5: volume 19.534 Å³/atom. Number 6: volume 25.377 Å³/atom. Number 7: volume 22.730 Å³/atom. Number 8: volume 21.970 Å³/atom. Number 9: volume 11.256 Å³/atom. Number 10: volume 16.028 Å³/atom. Number 11: volume 27.160 Å³/atom. Number 12: volume 18.026 Å³/atom.